Entry from Alexandria via LeMat-Bulk: a geometry-optimized Ga4FeNi5 structure (PBE-GGA). Values from VASP.

Results
Crystal system: tetragonal
Formation energy (eV/f.u.): -2.83
Symmetry: P4/mmm, No. 123

Cell and atoms, written as Quantum ESPRESSO input:
```
&SYSTEM
  ibrav = 0, nat = 10, ntyp = 3
/
ATOMIC_SPECIES
Ga 69.72 Ga.upf
Fe 55.84 Fe.upf
Ni 58.69 Ni.upf
CELL_PARAMETERS angstrom
2.973 0.000 0.000
0.000 2.973 0.000
0.000 0.000 13.866
ATOMIC_POSITIONS crystal
Ga 0.000 0.000 0.194
Ga 0.000 0.000 0.398
Ga 0.000 0.000 0.602
Ga 0.000 0.000 0.806
Fe 0.000 0.000 0.000
Ni 0.500 0.500 0.094
Ni 0.500 0.500 0.297
Ni 0.500 0.500 0.500
Ni 0.500 0.500 0.703
Ni 0.500 0.500 0.906
```

Entry from Alexandria via LeMat-Bulk: a geometry-optimized Cs3SrLa2Se6 structure (PBE-GGA). Values from VASP.

Results
Crystal system: monoclinic
Raw formation energy (meV/atom): -1640
Symmetry: C2/m, No. 12

Cell and atoms, written as Quantum ESPRESSO input:
```
&SYSTEM
  ibrav = 0, nat = 12, ntyp = 4
/
ATOMIC_SPECIES
Cs 132.91 Cs.upf
Sr 87.62 Sr.upf
La 138.91 La.upf
Se 78.96 Se.upf
CELL_PARAMETERS angstrom
7.867 0.000 0.000
-3.932 6.814 0.000
-1.312 -2.272 8.368
ATOMIC_POSITIONS crystal
Cs 0.163 0.837 0.500
Cs 0.837 0.163 0.500
Cs 0.500 0.500 0.500
Sr 0.000 0.000 0.000
La 0.333 0.667 0.000
La 0.667 0.333 0.000
Se 0.935 0.590 0.807
Se 0.719 0.719 0.192
Se 0.065 0.410 0.193
Se 0.590 0.935 0.807
Se 0.281 0.281 0.808
Se 0.410 0.065 0.193
```

Entry from Alexandria via LeMat-Bulk: a geometry-optimized CaPt2Br structure (PBE-GGA). Values from VASP.

Results
Crystal system: orthorhombic
Raw formation energy (meV/atom): -341
Energy relative to the lowest polymorph listed for this composition (eV/atom): 0.383
Symmetry: Imm2, No. 44

Cell and atoms, written as Quantum ESPRESSO input:
```
&SYSTEM
  ibrav = 0, nat = 4, ntyp = 3
/
ATOMIC_SPECIES
Ca 40.08 Ca.upf
Br 79.90 Br.upf
Pt 195.08 Pt.upf
CELL_PARAMETERS angstrom
5.642 -0.021 -0.004
2.199 5.196 0.004
-3.580 -3.103 3.064
ATOMIC_POSITIONS crystal
Ca 0.743 0.243 0.500
Br 0.443 0.443 0.000
Pt 0.068 0.068 0.000
Pt 0.246 0.746 0.500
```

Entry from Alexandria via LeMat-Bulk: a geometry-optimized Th2ScCdC structure (PBE-GGA). Values from VASP.

Results
Crystal system: tetragonal
Formation energy (eV/f.u.): -1.33
Symmetry: P4/mmm, No. 123

Cell and atoms, written as Quantum ESPRESSO input:
```
&SYSTEM
  ibrav = 0, nat = 5, ntyp = 4
/
ATOMIC_SPECIES
Th 232.04 Th.upf
Sc 44.96 Sc.upf
Cd 112.41 Cd.upf
C 12.01 C.upf
CELL_PARAMETERS angstrom
-4.272 -0.412 -1.737
-1.275 -3.083 3.867
-1.501 4.046 2.731
ATOMIC_POSITIONS crystal
Th 0.000 0.000 0.500
Th 0.000 0.500 0.000
Sc 0.500 0.000 0.000
Cd 0.500 0.500 0.500
C 0.000 0.000 0.000
```